Density functional theory data (GGA-PBE) for an optimized crystal structure of TmCrW2C4.

Cell and atoms, written as extended XYZ:
```
16
Lattice="1.581 -5.420 0.000 1.581 5.420 0.000 0.000 0.000 10.717" Properties=species:S:1:pos:R:3 pbc="T T T"
Tm 1.581 4.219 8.038
Tm 1.581 -4.219 2.679
Cr 1.581 3.733 2.679
Cr 1.581 -3.733 8.038
W 1.581 1.375 5.769
W 1.581 1.375 10.306
W 1.581 -1.375 0.411
W 1.581 -1.375 4.948
C 0.000 0.000 0.000
C 0.000 0.000 5.358
C 1.581 2.556 1.239
C 1.581 2.556 4.119
C 1.581 0.651 8.038
C 1.581 -0.651 2.679
C 1.581 -2.556 6.598
C 1.581 -2.556 9.478
```

As for the energy relative to the elements: -76 meV/atom. The energy comes out at -9.688 eV/atom. Its size of the total moment is 0.00 μB per formula unit.

Density functional theory data (GGA-PBE) for an optimized crystal structure of Dy2ScBi3.

Cell and atoms, written as extended XYZ:
```
6
Lattice="-2.203 3.126 6.609 2.203 -3.126 6.609 2.203 3.126 -6.609" Properties=species:S:1:pos:R:3 pbc="T T T"
Dy 0.000 0.000 2.237
Dy 0.000 0.000 10.982
Sc 0.000 0.000 6.609
Bi 2.203 0.000 0.000
Bi 2.203 0.000 4.511
Bi 0.000 3.126 2.098
```

As for the energy relative to the elements: -782 meV/atom. The energy comes out at -5.311 eV/atom. The energy relative to the lowest polymorph listed for this composition is 3.5 meV per atom. Its size of the total moment is 0.00 μB per formula unit.

Density functional theory data (GGA-PBE) for an optimized crystal structure of Ta2InBr.

Cell and atoms, written as extended XYZ:
```
4
Lattice="1.497 -2.805 0.000 1.497 2.805 0.000 0.000 0.000 9.709" Properties=species:S:1:pos:R:3 pbc="T T T"
Ta 0.000 0.000 2.333
Ta 0.000 0.000 7.375
In 1.497 0.000 4.854
Br 1.497 0.000 0.000
```

Its energy relative to the elements, uncorrected is 511 meV/atom. The energy comes out at -6.518 eV/atom. The energy relative to the lowest polymorph listed for this composition is 440.3 meV per atom. Its size of the total moment is 0.00 μB per formula unit.

Density functional theory data (GGA-PBE) for an optimized crystal structure of BaBiPS2.

Cell and atoms, written as extended XYZ:
```
5
Lattice="5.333 0.000 0.000 0.000 5.333 0.000 0.000 0.000 5.263" Properties=species:S:1:pos:R:3 pbc="T T T"
Ba 0.000 0.000 0.000
Bi 2.667 2.667 2.631
P 2.667 2.667 0.000
S 0.000 2.667 2.631
S 2.667 0.000 2.631
```

Its energy relative to the elements, uncorrected is -368 meV/atom. The energy comes out at -4.262 eV/atom. The energy relative to the lowest polymorph listed for this composition is 0.0 meV per atom. Its size of the total moment is 0.00 μB per formula unit.

Density functional theory data (GGA-PBE) for an optimized crystal structure of Tl4CdRu.

Cell and atoms, written as extended XYZ:
```
6
Lattice="0.000 4.361 4.361 4.361 0.000 4.361 4.361 4.361 0.000" Properties=species:S:1:pos:R:3 pbc="T T T"
Tl 1.094 1.094 1.094
Tl 3.267 3.267 1.094
Tl 3.267 1.094 3.267
Tl 1.094 3.267 3.267
Cd 6.541 6.541 6.541
Ru 4.361 4.361 4.361
```

As for the energy relative to the elements: 807 meV/atom. The energy comes out at -2.469 eV/atom. Its size of the total moment is 1.88 μB per formula unit.

Density functional theory data (GGA-PBE) for an optimized crystal structure of Ca2VInOs.

Cell and atoms, written as extended XYZ:
```
5
Lattice="5.702 0.000 0.000 0.000 5.702 0.000 0.000 0.000 4.376" Properties=species:S:1:pos:R:3 pbc="T T T"
Ca 0.000 2.851 0.000
Ca 2.851 0.000 0.000
V 0.000 0.000 0.000
In 2.851 2.851 2.188
Os 0.000 0.000 2.188
```

As for the energy relative to the elements: 712 meV/atom. The energy comes out at -4.706 eV/atom. Its size of the total moment is 1.38 μB per formula unit.

Density functional theory data (GGA-PBE) for an optimized crystal structure of Nd5ZrSb4.

Cell and atoms, written as extended XYZ:
```
10
Lattice="9.463 -2.161 0.000 9.463 2.161 0.000 -2.173 0.000 8.248" Properties=species:S:1:pos:R:3 pbc="T T T"
Nd 0.000 0.000 0.000
Nd 5.876 0.000 1.222
Nd 4.821 0.000 5.585
Nd 11.931 0.000 2.663
Nd 10.876 0.000 7.025
Zr -1.087 0.000 4.124
Sb 1.801 0.000 4.812
Sb 8.832 0.000 2.156
Sb 7.920 0.000 6.092
Sb 14.951 0.000 3.436
```

Its energy relative to the elements, uncorrected is -701 meV/atom. The energy comes out at -5.589 eV/atom. Its size of the total moment is 0.00 μB per formula unit.

Density functional theory data (GGA-PBE) for an optimized crystal structure of MnAl2W.

Cell and atoms, written as extended XYZ:
```
4
Lattice="2.715 0.000 0.000 0.000 2.715 0.000 0.000 0.000 8.086" Properties=species:S:1:pos:R:3 pbc="T T T"
Mn 0.000 0.000 0.000
Al 0.000 0.000 4.036
Al 1.358 1.358 6.324
W 1.358 1.358 1.987
```

As for the energy relative to the elements: 45 meV/atom. The energy comes out at -7.357 eV/atom. The energy relative to the lowest polymorph listed for this composition is 215.7 meV per atom. Its size of the total moment is 2.34 μB per formula unit.

Density functional theory data (GGA-PBE) for an optimized crystal structure of TbPu2Th.

Cell and atoms, written as extended XYZ:
```
4
Lattice="1.744 1.007 11.213 -1.744 1.007 11.213 0.000 -2.014 11.213" Properties=species:S:1:pos:R:3 pbc="T T T"
Tb 0.000 0.000 0.000
Pu 0.000 0.000 8.349
Pu 0.000 0.000 25.289
Th 0.000 0.000 16.819
```

As for the energy relative to the elements: 186 meV/atom. The energy comes out at -9.992 eV/atom. The energy relative to the lowest polymorph listed for this composition is 12.7 meV per atom. Its size of the total moment is 11.91 μB per formula unit.

Density functional theory data (GGA-PBE) for an optimized crystal structure of Ge3MoPt.

Cell and atoms, written as extended XYZ:
```
5
Lattice="4.819 0.000 0.000 0.000 4.819 0.000 0.000 0.000 4.819" Properties=species:S:1:pos:R:3 pbc="T T T"
Ge 0.000 0.000 2.409
Ge 0.000 2.409 0.000
Ge 2.409 0.000 0.000
Mo 0.000 0.000 0.000
Pt 2.409 2.409 2.409
```

As for the energy relative to the elements: 742 meV/atom. The energy comes out at -5.402 eV/atom. The energy relative to the lowest polymorph listed for this composition is 0.0 meV per atom. Its size of the total moment is 0.00 μB per formula unit.

Density functional theory data (GGA-PBE) for an optimized crystal structure of Cd2AgSe.

Cell and atoms, written as extended XYZ:
```
4
Lattice="-2.131 2.131 4.710 2.131 -2.131 4.710 2.131 2.131 -4.710" Properties=species:S:1:pos:R:3 pbc="T T T"
Cd 2.131 0.000 2.355
Cd 0.000 2.131 2.355
Ag 0.000 0.000 0.000
Se 0.000 0.000 4.710
```

Its energy relative to the elements, uncorrected is 36 meV/atom. The energy comes out at -2.005 eV/atom. Its size of the total moment is 0.00 μB per formula unit.

Density functional theory data (GGA-PBE) for an optimized crystal structure of Ac4PdRh3.

Cell and atoms, written as extended XYZ:
```
8
Lattice="4.144 0.000 0.000 0.000 4.430 0.000 0.000 0.000 11.625" Properties=species:S:1:pos:R:3 pbc="T T T"
Ac 0.000 0.000 0.000
Ac 0.000 2.215 3.103
Ac 2.072 0.000 5.692
Ac 2.072 2.215 8.927
Pd 0.000 0.000 8.279
Rh 0.000 2.215 6.303
Rh 2.072 0.000 2.542
Rh 2.072 2.215 0.437
```

As for the energy relative to the elements: -718 meV/atom. The energy comes out at -6.179 eV/atom. Its size of the total moment is 0.00 μB per formula unit.